A relaxed structure of KTlCr2O8. Source: the Alexandria database, functional GGA+U.

## Properties
The calculated density is 3.9 Mg/m³. The symmetry is No. 147. As for the uncorrected energy: -72.58 eV for the cell shown.

```
KTlCr2O8
1.0
5.424 0.000 0.000
-2.712 4.697 0.000
0.000 0.000 8.043
K Tl Cr O
1 1 2 8
Cartesian
0.000 0.000 0.000
0.000 0.000 4.021
0.000 3.131 5.969
2.712 1.566 2.074
-0.577 1.638 5.450
-1.005 4.377 5.450
0.000 3.131 7.593
1.131 1.319 2.592
1.581 3.378 5.450
2.712 1.566 0.449
3.716 0.320 2.592
3.288 3.059 2.592
```